VASP calculation (PBE) on an optimized crystal structure of Pa2GaGeN5.

Results
Symmetry: No. 36

a = 7.2793 Å, b = 7.2793 Å, c = 9.6283 Å
α = 90.00°, β = 90.00°, γ = 152.49°
Element x y z (fractional)
1 Pa 0.1233 0.8767 0.5000
2 Pa 0.1245 0.8755 0.0807
3 Pa 0.8755 0.1245 0.5807
4 Pa 0.8767 0.1233 0.0000
5 Ga 0.4625 0.5375 0.2814
6 Ga 0.5375 0.4625 0.7814
7 Ge 0.2138 0.7862 0.8098
8 Ge 0.7862 0.2138 0.3098
9 N 0.0200 0.9800 0.8746
10 N 0.2888 0.7112 0.5095
11 N 0.3301 0.6699 0.1753
12 N 0.3488 0.6512 0.8435
13 N 0.4831 0.5169 0.5954
14 N 0.5169 0.4831 0.0954
15 N 0.6512 0.3488 0.3435
16 N 0.6699 0.3301 0.6753
17 N 0.7112 0.2888 0.0095
18 N 0.9800 0.0200 0.3746

=====

VASP calculation (PBE) on an optimized crystal structure of PaGaGeN.

Results
Symmetry: No. 129

a = 3.9551 Å, b = 3.9551 Å, c = 9.0933 Å
α = 90.00°, β = 90.00°, γ = 90.00°
Element x y z (fractional)
1 Pa 0.2500 0.2500 0.1295
2 Pa 0.7500 0.7500 0.8705
3 Ga 0.2500 0.7500 0.5000
4 Ga 0.7500 0.2500 0.5000
5 Ge 0.2500 0.2500 0.7037
6 Ge 0.7500 0.7500 0.2963
7 N 0.2500 0.7500 0.0000
8 N 0.7500 0.2500 0.0000

=====

VASP calculation (PBE) on an optimized crystal structure of Pm4GaGeN.

Results
Symmetry: No. 63

a = 8.5439 Å, b = 8.5439 Å, c = 6.7727 Å
α = 90.00°, β = 90.00°, γ = 133.30°
Element x y z (fractional)
1 Pm 0.0000 0.5000 0.0000
2 Pm 0.0000 0.5000 0.5000
3 Pm 0.0801 0.9199 0.7500
4 Pm 0.4204 0.5796 0.7500
5 Pm 0.5000 0.0000 0.0000
6 Pm 0.5000 0.0000 0.5000
7 Pm 0.5796 0.4204 0.2500
8 Pm 0.9199 0.0801 0.2500
9 Ga 0.1145 0.8855 0.2500
10 Ga 0.8855 0.1145 0.7500
11 Ge 0.3869 0.6131 0.2500
12 Ge 0.6131 0.3869 0.7500
13 N 0.2491 0.7509 0.7500
14 N 0.7509 0.2491 0.2500

=====

VASP calculation (PBE) on an optimized crystal structure of Pr4GaGeN.

Results
Symmetry: No. 63

a = 8.6624 Å, b = 8.6624 Å, c = 6.9137 Å
α = 90.00°, β = 90.00°, γ = 132.97°
Element x y z (fractional)
1 Pr 0.0000 0.5000 0.0000
2 Pr 0.0000 0.5000 0.5000
3 Pr 0.0783 0.9217 0.7500
4 Pr 0.4203 0.5797 0.7500
5 Pr 0.5000 0.0000 0.0000
6 Pr 0.5000 0.0000 0.5000
7 Pr 0.5797 0.4203 0.2500
8 Pr 0.9217 0.0783 0.2500
9 Ga 0.3848 0.6152 0.2500
10 Ga 0.6152 0.3848 0.7500
11 Ge 0.1135 0.8865 0.2500
12 Ge 0.8865 0.1135 0.7500
13 N 0.2537 0.7463 0.7500
14 N 0.7463 0.2537 0.2500

=====

VASP calculation (PBE) on an optimized crystal structure of Sc4GaGeN.

Results
Symmetry: No. 63

a = 7.7979 Å, b = 7.7979 Å, c = 6.0376 Å
α = 90.00°, β = 90.00°, γ = 134.44°
Element x y z (fractional)
1 Sc 0.0000 0.5000 0.0000
2 Sc 0.0000 0.5000 0.5000
3 Sc 0.0864 0.9136 0.7500
4 Sc 0.4133 0.5867 0.7500
5 Sc 0.5000 0.0000 0.0000
6 Sc 0.5000 0.0000 0.5000
7 Sc 0.5867 0.4133 0.2500
8 Sc 0.9136 0.0864 0.2500
9 Ga 0.3892 0.6108 0.2500
10 Ga 0.6108 0.3892 0.7500
11 Ge 0.1104 0.8896 0.2500
12 Ge 0.8896 0.1104 0.7500
13 N 0.2496 0.7504 0.7500
14 N 0.7504 0.2496 0.2500

=====

VASP calculation (PBE) on an optimized crystal structure of GaGeSe2N.

Results
Energy relative to the lowest polymorph listed for this composition (kJ per mole of atoms): 0.00
Symmetry: No. 123

a = 5.3374 Å, b = 5.3374 Å, c = 3.5117 Å
α = 90.00°, β = 90.00°, γ = 90.00°
Element x y z (fractional)
1 Ga 0.0000 0.0000 0.0000
2 Ge 0.5000 0.5000 0.5000
3 Se 0.0000 0.5000 0.5000
4 Se 0.5000 0.0000 0.5000
5 N 0.5000 0.5000 0.0000

=====

VASP calculation (PBE) on an optimized crystal structure of GaGeSe2N.

Results
Energy relative to the lowest polymorph listed for this composition (kJ per mole of atoms): 3.16
Symmetry: No. 123

a = 5.1892 Å, b = 5.1892 Å, c = 3.7211 Å
α = 90.00°, β = 90.00°, γ = 90.00°
Element x y z (fractional)
1 Ga 0.0000 0.0000 0.0000
2 Ge 0.5000 0.5000 0.5000
3 Se 0.0000 0.5000 0.0000
4 Se 0.5000 0.0000 0.0000
5 N 0.0000 0.0000 0.5000

=====

VASP calculation (PBE) on an optimized crystal structure of Sr2GaGeN.

Results
Symmetry: No. 11

a = 6.9593 Å, b = 4.1002 Å, c = 8.8276 Å
α = 90.00°, β = 108.63°, γ = 90.00°
Element x y z (fractional)
1 Sr 0.1876 0.2500 0.3776
2 Sr 0.2015 0.2500 0.9656
3 Sr 0.7985 0.7500 0.0344
4 Sr 0.8124 0.7500 0.6224
5 Ga 0.4643 0.7500 0.2464
6 Ga 0.5357 0.2500 0.7536
7 Ge 0.3223 0.7500 0.7000
8 Ge 0.6777 0.2500 0.3000
9 N 0.1761 0.7500 0.1707
10 N 0.8239 0.2500 0.8293

=====

VASP calculation (PBE) on an optimized crystal structure of GaGeTeN2.

Results
Energy relative to the lowest polymorph listed for this composition (kJ per mole of atoms): 15.35
Symmetry: No. 123

a = 4.0384 Å, b = 4.0384 Å, c = 5.7582 Å
α = 90.00°, β = 90.00°, γ = 90.00°
Element x y z (fractional)
1 Ga 0.0000 0.0000 0.0000
2 Ge 0.5000 0.5000 0.5000
3 Te 0.0000 0.0000 0.5000
4 N 0.0000 0.5000 0.0000
5 N 0.5000 0.0000 0.0000

=====

VASP calculation (PBE) on an optimized crystal structure of GaGeTeN2.

Results
Energy relative to the lowest polymorph listed for this composition (kJ per mole of atoms): 0.00
Symmetry: No. 123

a = 3.7954 Å, b = 3.7954 Å, c = 6.8420 Å
α = 90.00°, β = 90.00°, γ = 90.00°
Element x y z (fractional)
1 Ga 0.0000 0.0000 0.0000
2 Ge 0.5000 0.5000 0.5000
3 Te 0.5000 0.5000 0.0000
4 N 0.0000 0.5000 0.5000
5 N 0.5000 0.0000 0.5000

=====

VASP calculation (PBE) on an optimized crystal structure of UGaGeN.

Results
Symmetry: No. 129

a = 3.9662 Å, b = 3.9662 Å, c = 8.7642 Å
α = 90.00°, β = 90.00°, γ = 90.00°
Element x y z (fractional)
1 U 0.2500 0.2500 0.1276
2 U 0.7500 0.7500 0.8724
3 Ga 0.2500 0.7500 0.5000
4 Ga 0.7500 0.2500 0.5000
5 Ge 0.2500 0.2500 0.7005
6 Ge 0.7500 0.7500 0.2995
7 N 0.2500 0.7500 0.0000
8 N 0.7500 0.2500 0.0000

=====

VASP calculation (PBE) on an optimized crystal structure of Y2GaGeN.

Results
Symmetry: No. 123

a = 5.3782 Å, b = 5.3782 Å, c = 4.4508 Å
α = 90.00°, β = 90.00°, γ = 90.00°
Element x y z (fractional)
1 Y 0.0000 0.5000 0.0000
2 Y 0.5000 0.0000 0.0000
3 Ga 0.0000 0.0000 0.0000
4 Ge 0.0000 0.0000 0.5000
5 N 0.5000 0.5000 0.5000

=====

| no. | raw formation energy (eV/atom) | raw total energy (eV/cell) |
| --- | --- | --- |
| 1 | -0.738 | -149.80 |
| 2 | -0.823 | -57.52 |
| 3 | -0.792 | -81.03 |
| 4 | -0.725 | -80.33 |
| 5 | -1.015 | -96.80 |
| 6 | 0.555 | -20.17 |
| 7 | 0.587 | -20.00 |
| 8 | -0.666 | -45.33 |
| 9 | 1.254 | -21.16 |
| 10 | 1.095 | -21.96 |
| 11 | -0.638 | -59.62 |
| 12 | 0.859 | -24.60 |